The following is a GGA-PBE calculation of a relaxed structure of NiIr, from the Alexandria database.

a b c (Å): 8.6872 8.6872 4.0201
angles (deg): 90.00 90.00 120.00
Last column: nearest neighbours and their distance in Å.
Space group P6_3/m (No. 176)
Symmetry-distinct sites (fractional):
1 Ni 0.2045 0.4765 0.2500 [6 per cell]  4 Ir 2.32-2.47, 2 Ni 2.53
2 Ir 0.0221 0.4315 0.7500 [6 per cell]  4 Ni 2.32-2.47, 2 Ir 2.46

Computed properties:
Formation energy from the elements (eV per atom): 1.04

=====

The following is a GGA-PBE calculation of a relaxed structure of CeZnGa3Cu, from the Alexandria database.

a b c (Å): 6.1574 12.5770 6.0159
angles (deg): 90.00 90.00 90.00
Last column: nearest neighbours and their distance in Å.
Space group Cmcm (No. 63)
Symmetry-distinct sites (fractional):
1 Ce 0.0000 0.2123 0.2500 [4 per cell]  1 Cu 2.79, 2 Zn 3.11
2 Zn 0.0000 0.1504 0.7500 [4 per cell]  5 Ga 2.60-2.74
3 Ga 0.0000 0.3572 0.7500 [4 per cell]  1 Zn 2.60, 1 Cu 2.62
4 Ga 0.2088 0.0000 0.0000 [8 per cell]  2 Cu 2.48, 1 Ga 2.57, 2 Zn 2.74
5 Cu 0.0000 0.4344 0.2500 [4 per cell]  5 Ga 2.48-2.62

Computed properties:
Formation energy from the elements (eV per atom): -0.08

=====

The following is a GGA-PBE calculation of a relaxed structure of RbNaGaI3, from the Alexandria database.

a b c (Å): 9.4922 4.6421 12.1337
angles (deg): 90.00 108.70 90.00
Last column: nearest neighbours and their distance in Å.
Space group P2_1/m (No. 11)
Symmetry-distinct sites (fractional):
1 Rb 0.2482 0.2500 0.2846 [2 per cell]  7 I 3.63-3.94, 1 Ga 3.87
2 Na 0.3664 0.7500 0.8494 [2 per cell]  6 I 3.16-3.40
3 Ga 0.0899 0.2500 0.5417 [2 per cell]  1 I 2.83, 2 Ga 2.87
4 I 0.0952 0.2500 0.7762 [2 per cell]  1 Ga 2.83
5 I 0.3240 0.7500 0.5602 [2 per cell]  2 Ga 3.17, 1 Na 3.40
6 I 0.3908 0.7500 0.1155 [2 per cell]  3 Na 3.16-3.20

Computed properties:
Raw formation energy (eV per atom): -1.009

=====

The following is a GGA-PBE calculation of a relaxed structure of Li2As, from the Alexandria database.

a b c (Å): 2.9492 7.3995 4.5463
angles (deg): 90.00 108.63 90.00
Last column: nearest neighbours and their distance in Å.
Space group P2_1 (No. 4)
Symmetry-distinct sites (fractional):
1 Li 0.0872 0.0000 0.1818 [2 per cell]  5 Li 2.62-2.85, 5 As 2.74-2.83
2 Li 0.3585 0.8241 0.7082 [2 per cell]  4 As 2.61-2.65, 5 Li 2.62-2.85
3 As 0.3632 0.1794 0.7381 [2 per cell]  9 Li 2.61-2.83

Computed properties:
Formation energy from the elements (eV per atom): -0.59
Polymorph energy (0 for the lowest one) (meV/atom): 42

=====

The following is a GGA-PBE calculation of a relaxed structure of VMo2PtN, from the Alexandria database.

a b c (Å): 4.1008 4.1008 3.9717
angles (deg): 90.00 90.00 90.00
Last column: nearest neighbours and their distance in Å.
Space group P4/mmm (No. 123)
Symmetry-distinct sites (fractional):
1 V 0.0000 0.0000 0.0000 [1 per cell]  2 N 1.99
2 Mo 0.0000 0.5000 0.5000 [2 per cell]  2 N 2.05
3 Pt 0.5000 0.5000 0.0000 [1 per cell]  8 Mo 2.85, 4 V 2.90
4 N 0.0000 0.0000 0.5000 [1 per cell]  2 V 1.99, 4 Mo 2.05

Computed properties:
Raw formation energy (eV per atom): -0.434

=====

The following is a GGA-PBE calculation of a relaxed structure of Te6AuI2, from the Alexandria database.

a b c (Å): 17.8871 9.0532 9.0121
angles (deg): 90.00 91.33 90.00
Last column: nearest neighbours and their distance in Å.
Space group C2/c (No. 15)
Symmetry-distinct sites (fractional):
1 Te 0.0227 0.1522 0.0227 [8 per cell]  1 Au 2.70, 1 I 2.88, 1 Te 2.90
2 Te 0.0968 0.4925 0.6450 [8 per cell]  2 Te 2.83-2.90, 1 Au 2.84
3 Te 0.1713 0.3726 0.3995 [8 per cell]  2 Te 2.83-2.90
4 Au 0.0000 0.2683 0.7500 [4 per cell]  4 Te 2.70-2.84
5 I 0.1748 0.0506 0.0604 [8 per cell]  2 Te 2.88-3.20

Computed properties:
Raw formation energy (eV per atom): 0.057

=====

Number 1: total moment 0.001 μB per cell, uncorrected energy -6.284 eV/atom. Number 2: total moment 4.061 μB per cell, uncorrected energy -3.479 eV/atom. Number 3: total moment 0.000 μB per cell, uncorrected energy -2.670 eV/atom. Number 4: total moment 0.000 μB per cell, uncorrected energy -3.415 eV/atom. Number 5: total moment 0.000 μB per cell, uncorrected energy -9.463 eV/atom. Number 6: total moment 0.000 μB per cell, uncorrected energy -2.746 eV/atom.